No. 1
A plane-wave DFT calculation with GGA+U was carried out for a geometry-optimized PWAu2O structure.

It has space group P4/mmm (No. 123), with a = 4.3985 Å, b = 4.3985 Å, c = 4.5373 Å, α = 90.00°, β = 90.00° and γ = 90.00°. Symmetry generates all atoms from P at (0.0000, 0.0000, 0.0000), W at (0.5000, 0.5000, 0.0000), Au at (0.0000, 0.5000, 0.5000) and O at (0.0000, 0.0000, 0.5000).

The magnetic moment comes out at 3.29 μB per formula unit.

=====

No. 2
A plane-wave DFT calculation with GGA+U was carried out for a geometry-optimized MnAuO2 structure.

It has space group Fm-3m (No. 225), with a = 5.7557 Å, b = 5.7557 Å, c = 5.7557 Å, α = 90.00°, β = 90.00° and γ = 90.00°. Symmetry generates all atoms from Mn at (0.0000, 0.0000, 0.0000), Au at (0.0000, 0.0000, 0.5000) and O at (0.2500, 0.2500, 0.2500).

The magnetic moment comes out at 3.99 μB per formula unit.

=====

Number 1: calculated total energy -3.9675 eV/atom. Number 2: calculated total energy -5.3410 eV/atom.